# K2Li2PmCl6, relaxed, DFT GGA-PBE
# total magnetization = 0.088 μB per atom
# E_form (uncorrected) = -1.807 eV/atom
# mass density = 2480 kg/m³
data_K2Li2PmCl6
_symmetry_space_group_name_H-M 'P -3 1 m'
_symmetry_Int_Tables_number 162
_symmetry_space_group_name_Hall '-P 3 2'
_cell_length_a 6.8684
_cell_length_b 6.8684
_cell_length_c 7.3724
_cell_angle_alpha 90.00
_cell_angle_beta 90.00
_cell_angle_gamma 120.00
loop_
_atom_site_label
_atom_site_type_symbol
_atom_site_fract_x
_atom_site_fract_y
_atom_site_fract_z
K1 K 0.3333 0.6667 0.0000
Li1 Li 0.3333 0.6667 0.5000
Pm1 Pm 0.0000 0.0000 0.5000
Cl1 Cl 0.0000 0.3535 0.3006